# 1
A relaxed TbErBr6 crystal, computed with PBE.

a b c (Å): 7.5787 7.5787 7.5787
angles (deg): 55.53 55.53 55.53
With the nearest neighbours (Å) after each atom.
Fractional coordinates of all 8 atoms:
Tb 0.0000 0.0000 0.0000  6 Br 2.83
Er 0.5000 0.5000 0.5000  6 Br 2.79
Br 0.0972 0.4066 0.7477  1 Er 2.79, 1 Tb 2.83
Br 0.2523 0.9028 0.5934  1 Er 2.79, 1 Tb 2.83
Br 0.4066 0.7477 0.0972  1 Er 2.79, 1 Tb 2.83
Br 0.5934 0.2523 0.9028  1 Er 2.79, 1 Tb 2.83
Br 0.7477 0.0972 0.4066  1 Er 2.79, 1 Tb 2.83
Br 0.9028 0.5934 0.2523  1 Er 2.79, 1 Tb 2.83

- energy relative to the lowest polymorph listed for this composition (eV/atom) = 0.020

=====

# 2
A relaxed Er4TcBr5 crystal, computed with PBE.

a b c (Å): 9.3707 9.3707 9.1081
angles (deg): 103.79 103.79 23.10
With the nearest neighbours (Å) after each atom.
Fractional coordinates of all 10 atoms:
Er 0.0026 0.0026 0.2325  2 Tc 2.82, 4 Br 2.97-3.16
Er 0.3578 0.3578 0.9264  1 Tc 2.53
Er 0.6422 0.6422 0.0736  1 Tc 2.53
Er 0.9974 0.9974 0.7675  2 Tc 2.82, 4 Br 2.97-3.16
Tc 0.5000 0.5000 0.0000  6 Er 2.53-2.82
Br 0.1695 0.1695 0.3231  3 Er 2.90-2.97
Br 0.1746 0.1746 0.8504  4 Er 2.93-3.27
Br 0.5000 0.5000 0.5000  4 Er 3.08
Br 0.8254 0.8254 0.1496  4 Er 2.93-3.27
Br 0.8305 0.8305 0.6769  3 Er 2.90-2.97

=====

# 3
A relaxed ErTcBr crystal, computed with PBE.

a b c (Å): 11.9444 11.9444 11.9444
angles (deg): 19.54 19.54 19.54
With the nearest neighbours (Å) after each atom.
Fractional coordinates of all 6 atoms:
Er 0.0613 0.0613 0.0613  3 Br 2.97, 6 Tc 3.05-3.31
Er 0.9387 0.9387 0.9387  3 Br 2.97, 6 Tc 3.05-3.31
Tc 0.3387 0.3387 0.3387  3 Tc 2.37
Tc 0.6613 0.6613 0.6613  3 Tc 2.37
Br 0.2201 0.2201 0.2201  3 Er 2.97
Br 0.7799 0.7799 0.7799  3 Er 2.97

=====

# 4
A relaxed Er2TcBr crystal, computed with PBE.

a b c (Å): 3.3012 3.3012 30.1680
angles (deg): 90.00 90.00 120.00
With the nearest neighbours (Å) after each atom.
Fractional coordinates of all 12 atoms:
Er 0.0000 0.0000 0.0871  1 Tc 2.63
Er 0.0000 0.0000 0.9129  1 Tc 2.63
Er 0.3333 0.6667 0.5796  1 Tc 2.63
Er 0.3333 0.6667 0.7538  1 Tc 2.63
Er 0.6667 0.3333 0.2462  1 Tc 2.63
Er 0.6667 0.3333 0.4204  1 Tc 2.63
Tc 0.0000 0.0000 0.0000  2 Er 2.63
Tc 0.3333 0.6667 0.6667  2 Er 2.63
Tc 0.6667 0.3333 0.3333  2 Er 2.63
Br 0.0000 0.0000 0.5000  6 Er 3.06, 6 Br 3.30
Br 0.3333 0.6667 0.1667  6 Er 3.06, 6 Br 3.30
Br 0.6667 0.3333 0.8333  6 Er 3.06, 6 Br 3.30

- energy relative to the lowest polymorph listed for this composition (eV/atom) = 0.810

=====

# 5
A relaxed Er2TcBr crystal, computed with PBE.

a b c (Å): 3.4368 3.4368 7.9341
angles (deg): 90.00 90.00 90.00
With the nearest neighbours (Å) after each atom.
Fractional coordinates of all 4 atoms:
Er 0.0000 0.0000 0.2031  4 Tc 2.92, 1 Er 3.22
Er 0.0000 0.0000 0.7969  4 Tc 2.92, 1 Er 3.22
Tc 0.5000 0.5000 0.0000  8 Er 2.92
Br 0.5000 0.5000 0.5000  8 Er 3.38, 4 Br 3.44

- energy relative to the lowest polymorph listed for this composition (eV/atom) = 0.000

=====

# 6
A relaxed ErTeBr crystal, computed with PBE.

a b c (Å): 4.0084 6.4471 13.5310
angles (deg): 90.00 90.00 90.00
With the nearest neighbours (Å) after each atom.
Fractional coordinates of all 12 atoms:
Er 0.0000 0.0000 0.1383  2 Te 2.95, 4 Br 3.15
Er 0.0000 0.0000 0.8617  2 Te 2.95, 4 Br 3.15
Er 0.5000 0.5000 0.3617  2 Te 2.95, 4 Br 3.15
Er 0.5000 0.5000 0.6383  2 Te 2.95, 4 Br 3.15
Te 0.0000 0.5000 0.2018  2 Er 2.95
Te 0.0000 0.5000 0.7982  2 Er 2.95
Te 0.5000 0.0000 0.2982  2 Er 2.95
Te 0.5000 0.0000 0.7018  2 Er 2.95
Br 0.0000 0.2583 0.5000  2 Br 3.12-3.33, 4 Er 3.15
Br 0.0000 0.7417 0.5000  2 Br 3.12-3.33, 4 Er 3.15
Br 0.5000 0.2417 0.0000  2 Br 3.12-3.33, 4 Er 3.15
Br 0.5000 0.7583 0.0000  2 Br 3.12-3.33, 4 Er 3.15

- energy relative to the lowest polymorph listed for this composition (eV/atom) = 0.185

=====

# 7
A relaxed ErTeBr crystal, computed with PBE.

a b c (Å): 4.2458 4.2458 7.2437
angles (deg): 90.00 90.00 120.00
With the nearest neighbours (Å) after each atom.
Fractional coordinates of all 3 atoms:
Er 0.0000 0.0000 0.0000  3 Te 2.96, 3 Br 2.98
Te 0.3333 0.6667 0.7711  3 Er 2.96
Br 0.6667 0.3333 0.2342  3 Er 2.98

- energy relative to the lowest polymorph listed for this composition (eV/atom) = 0.000

=====

# 8
A relaxed ErTeBr crystal, computed with PBE.

a b c (Å): 7.2311 4.2576 7.2447
angles (deg): 90.00 94.40 90.00
With the nearest neighbours (Å) after each atom.
Fractional coordinates of all 6 atoms:
Er 0.0000 0.0000 0.0000  2 Br 2.93, 4 Te 3.03
Er 0.5000 0.5000 0.0000  4 Br 2.89, 2 Te 2.96
Te 0.1896 0.5000 0.2440  3 Er 2.96-3.03
Te 0.8104 0.5000 0.7560  3 Er 2.96-3.03
Br 0.3238 0.0000 0.7810  3 Er 2.89-2.93
Br 0.6762 0.0000 0.2190  3 Er 2.89-2.93

- energy relative to the lowest polymorph listed for this composition (eV/atom) = 0.015

=====

# 9
A relaxed ErTeBr crystal, computed with PBE.

a b c (Å): 4.1282 4.1282 23.6233
angles (deg): 90.00 90.00 90.00
With the nearest neighbours (Å) after each atom.
Fractional coordinates of all 12 atoms:
Er 0.0000 0.0000 0.1584  2 Br 2.87, 4 Te 3.11
Er 0.0000 0.0000 0.8416  2 Br 2.87, 4 Te 3.11
Er 0.5000 0.5000 0.3416  2 Br 2.87, 4 Te 3.11
Er 0.5000 0.5000 0.6584  2 Br 2.87, 4 Te 3.11
Te 0.0000 0.0000 0.2959  5 Er 3.11-3.25
Te 0.0000 0.0000 0.7041  5 Er 3.11-3.25
Te 0.5000 0.5000 0.2041  5 Er 3.11-3.25
Te 0.5000 0.5000 0.7959  5 Er 3.11-3.25
Br 0.0000 0.5000 0.0738  2 Er 2.87
Br 0.0000 0.5000 0.4262  2 Er 2.87
Br 0.5000 0.0000 0.5738  2 Er 2.87
Br 0.5000 0.0000 0.9262  2 Er 2.87

- energy relative to the lowest polymorph listed for this composition (eV/atom) = 0.026

=====

# 10
A relaxed Er3TeBr7 crystal, computed with PBE.

a b c (Å): 8.2220 8.2220 10.1077
angles (deg): 127.22 127.22 60.76
With the nearest neighbours (Å) after each atom.
Fractional coordinates of all 11 atoms:
Er 0.0000 0.0000 0.0000  5 Br 2.79-2.96, 1 Te 2.97
Er 0.0011 0.4871 0.4865  5 Br 2.79-2.97, 1 Te 2.98
Er 0.4871 0.0011 0.4865  5 Br 2.79-2.97, 1 Te 2.98
Te 0.0331 0.0331 0.3248  3 Er 2.97-2.98
Br 0.0443 0.5678 0.8162  2 Er 2.79
Br 0.4321 0.9594 0.1660  2 Er 2.80
Br 0.4332 0.4332 0.6397  2 Er 2.80
Br 0.5678 0.0443 0.8162  2 Er 2.79
Br 0.5693 0.5693 0.3414  2 Er 2.79
Br 0.9458 0.9458 0.6586  3 Er 2.96-2.97
Br 0.9594 0.4321 0.1660  2 Er 2.80

=====

# 11
A relaxed Er2TiBr crystal, computed with PBE.

a b c (Å): 3.3512 3.3512 31.9671
angles (deg): 90.00 90.00 120.00
With the nearest neighbours (Å) after each atom.
Fractional coordinates of all 12 atoms:
Er 0.0000 0.0000 0.0919  1 Ti 2.94, 3 Br 3.08
Er 0.0000 0.0000 0.9081  1 Ti 2.94, 3 Br 3.08
Er 0.3333 0.6667 0.5748  1 Ti 2.94, 3 Br 3.08
Er 0.3333 0.6667 0.7586  1 Ti 2.94, 3 Br 3.08
Er 0.6667 0.3333 0.2414  1 Ti 2.94, 3 Br 3.08
Er 0.6667 0.3333 0.4252  1 Ti 2.94, 3 Br 3.08
Ti 0.0000 0.0000 0.0000  2 Er 2.94
Ti 0.3333 0.6667 0.6667  2 Er 2.94
Ti 0.6667 0.3333 0.3333  2 Er 2.94
Br 0.0000 0.0000 0.5000  6 Er 3.08, 6 Br 3.35
Br 0.3333 0.6667 0.1667  6 Er 3.08, 6 Br 3.35
Br 0.6667 0.3333 0.8333  6 Er 3.08, 6 Br 3.35

=====

# 12
A relaxed ErTiBr crystal, computed with PBE.

a b c (Å): 14.8135 3.4573 5.5527
angles (deg): 90.00 98.16 90.00
With the nearest neighbours (Å) after each atom.
Fractional coordinates of all 12 atoms:
Er 0.1014 0.0000 0.1876  4 Ti 3.07-3.22, 4 Br 3.11-3.38, 1 Er 3.40
Er 0.3986 0.5000 0.8124  4 Ti 3.07-3.22, 4 Br 3.11-3.38, 1 Er 3.40
Er 0.6014 0.5000 0.1876  4 Ti 3.07-3.22, 4 Br 3.11-3.38, 1 Er 3.40
Er 0.8986 0.0000 0.8124  4 Ti 3.07-3.22, 4 Br 3.11-3.38, 1 Er 3.40
Ti 0.0578 0.5000 0.6958  1 Ti 2.57, 2 Br 2.71
Ti 0.4422 0.0000 0.3042  1 Ti 2.57, 2 Br 2.71
Ti 0.5578 0.0000 0.6958  1 Ti 2.57, 2 Br 2.71
Ti 0.9422 0.5000 0.3042  1 Ti 2.57, 2 Br 2.71
Br 0.2003 0.0000 0.7295  2 Ti 2.71
Br 0.2997 0.5000 0.2705  2 Ti 2.71
Br 0.7003 0.5000 0.7295  2 Ti 2.71
Br 0.7997 0.0000 0.2705  2 Ti 2.71

=====

Here are the calculated uncorrected energy numbers, same order: -4.22 -4.93 -6.44 -5.09 -5.90 -4.47 -4.66 -4.64 -4.63 -4.37 -4.67 -5.17 (eV per atom).